[1]
Compound: RbTlGe
Source: the Alexandria database
Functional: GGA-PBE
Structure: optimized geometry

## Properties
E_tot, eV/cell: -32.12
ΔE_f, eV/f.u.: -0.078

Cell lengths 12.1252, 4.0451, 9.6388 Å; angles 90.00, 90.00, 90.00 degrees
Last column: nearest neighbours and their distance in Å.
Space group Pnma (No. 62)
Asymmetric unit:
1 Rb 0.2112 0.2500 0.0838 (multiplicity 4)  2 Ge 3.59, 3 Tl 3.85-3.94
2 Tl 0.0350 0.2500 0.7517 (multiplicity 4)  3 Ge 2.85-3.11
3 Ge 0.0652 0.2500 0.4587 (multiplicity 4)  2 Ge 2.69, 1 Tl 2.85



[2]
Compound: LaCl
Source: the Alexandria database
Functional: GGA-PBE
Structure: optimized geometry

## Properties
Formation energy without anion corrections, kJ/mol of formula units: -285
E_tot, eV/cell: -58.38

Cell lengths 12.7694, 3.7892, 7.8385 Å; angles 90.00, 113.82, 90.00 degrees
Last column: nearest neighbours and their distance in Å.
Space group Cm (No. 8)
Asymmetric unit:
1 La 0.0000 0.0000 0.0000 (multiplicity 2)  5 Cl 3.09-3.18, 1 La 3.36
2 La 0.1395 0.5000 0.4435 (multiplicity 2)  5 Cl 2.98-3.02
3 La 0.2791 0.0000 0.0781 (multiplicity 2)  5 Cl 2.99-3.16
4 Cl 0.1061 0.5000 0.8002 (multiplicity 2)  5 La 2.99-3.10
5 Cl 0.3162 0.0000 0.7033 (multiplicity 2)  5 La 3.02-3.18
6 Cl 0.4442 0.5000 0.3485 (multiplicity 2)  5 La 2.98-3.09



[3]
Compound: HfFe2Re3
Source: the Alexandria database
Functional: GGA-PBE
Structure: optimized geometry

## Properties
E_tot, eV/cell: -63.75
ΔE_f, eV/f.u.: 0.474

Cell lengths 5.0962, 5.0962, 4.2469 Å; angles 90.00, 90.00, 120.00 degrees
Last column: nearest neighbours and their distance in Å.
Space group P6/mmm (No. 191)
Asymmetric unit:
1 Hf 0.0000 0.0000 0.0000 (multiplicity 1)  6 Fe 2.94
2 Fe 0.3333 0.6667 0.0000 (multiplicity 2)  6 Re 2.58
3 Re 0.0000 0.5000 0.5000 (multiplicity 3)  4 Re 2.55, 4 Fe 2.58



[4]
Compound: LaBeOs
Source: the Alexandria database
Functional: GGA-PBE
Structure: optimized geometry

## Properties
E_tot, eV/cell: -74.87
ΔE_f, eV/f.u.: 1.165
Energy relative to the lowest polymorph listed for this composition, meV/atom: 554

Cell lengths 6.1539, 6.1539, 6.1539 Å; angles 90.00, 90.00, 90.00 degrees
Last column: nearest neighbours and their distance in Å.
Space group F-43m (No. 216)
Asymmetric unit:
1 La 0.0000 0.0000 0.0000 (multiplicity 4)  4 Be 2.66
2 Be 0.2500 0.2500 0.7500 (multiplicity 4)  4 La 2.66, 4 Os 2.66
3 Os 0.0000 0.0000 0.5000 (multiplicity 4)  4 Be 2.66



[5]
Compound: Cs2RhPb2
Source: the Alexandria database
Functional: GGA-PBE
Structure: optimized geometry

## Properties
E_tot, eV/cell: -31.93
ΔE_f, eV/f.u.: 0.508

Cell lengths 7.3573, 7.3573, 6.6192 Å; angles 90.00, 90.00, 90.00 degrees
Last column: nearest neighbours and their distance in Å.
Space group P4/mbm (No. 127)
Asymmetric unit:
1 Cs 0.1793 0.3207 0.0000 (multiplicity 4)  6 Pb 3.71-4.14, 5 Cs 3.73-3.82
2 Rh 0.0000 0.0000 0.5000 (multiplicity 2)  4 Pb 2.77
3 Pb 0.1592 0.6592 0.5000 (multiplicity 4)  2 Rh 2.77



[6]
Compound: KTiHgBr6
Source: the Alexandria database
Functional: GGA-PBE
Structure: optimized geometry

## Properties
Formation energy without anion corrections, kJ/mol of formula units: -919
E_tot, eV/cell: -28.86

Cell lengths 7.1979, 7.2459, 7.2481 Å; angles 90.80, 111.18, 107.51 degrees
Last column: nearest neighbours and their distance in Å.
Space group P1 (No. 1)
Asymmetric unit:
1 K 0.0000 0.0000 0.0000 (multiplicity 1)  6 Br 3.30-3.51
2 Ti 0.6437 0.4508 0.0920 (multiplicity 1)  6 Br 2.51-2.57
3 Hg 0.1688 0.4681 0.5726 (multiplicity 1)  4 Br 2.85-2.96
4 Br 0.3545 0.1908 0.8063 (multiplicity 1)  1 Ti 2.57
5 Br 0.4064 0.3977 0.2834 (multiplicity 1)  1 Ti 2.51
6 Br 0.4973 0.7121 0.9210 (multiplicity 1)  1 Ti 2.56, 1 Hg 2.85
7 Br 0.7937 0.1961 0.2738 (multiplicity 1)  1 Ti 2.56
8 Br 0.8778 0.4927 0.8989 (multiplicity 1)  1 Ti 2.51
9 Br 0.9329 0.7182 0.3687 (multiplicity 1)  1 Ti 2.56



[7]
Compound: Nd6TlRh3
Source: the Alexandria database
Functional: GGA-PBE
Structure: optimized geometry

## Properties
E_tot, eV/cell: -116.02
ΔE_f, eV/f.u.: -4.983

Cell lengths 12.0604, 4.1422, 12.3902 Å; angles 90.00, 107.55, 90.00 degrees
Last column: nearest neighbours and their distance in Å.
Space group P2_1/m (No. 11)
Asymmetric unit:
1 Nd 0.0233 0.2500 0.3874 (multiplicity 2)  4 Rh 2.84-3.15
2 Nd 0.1122 0.2500 0.9511 (multiplicity 2)  4 Rh 2.86-2.97
3 Nd 0.2068 0.7500 0.2596 (multiplicity 2)  3 Rh 2.86-3.08
4 Nd 0.2919 0.7500 0.7630 (multiplicity 2)  2 Rh 2.80
5 Nd 0.3506 0.2500 0.5289 (multiplicity 2)  2 Rh 2.88
6 Nd 0.4257 0.7500 0.0886 (multiplicity 2)  3 Rh 2.84-2.88
7 Tl 0.4505 0.2500 0.3074 (multiplicity 2)  8 Nd 3.31-3.50
8 Rh 0.0434 0.2500 0.1618 (multiplicity 2)  6 Nd 2.86-2.97
9 Rh 0.1774 0.7500 0.4983 (multiplicity 2)  7 Nd 2.84-3.15
10 Rh 0.3426 0.2500 0.9221 (multiplicity 2)  6 Nd 2.80-2.91



[8]
Compound: MgAsRu2
Source: the Alexandria database
Functional: GGA-PBE
Structure: optimized geometry

## Properties
E_tot, eV/cell: -48.25
ΔE_f, eV/f.u.: 0.671

Cell lengths 3.1033, 4.9986, 8.1809 Å; angles 90.00, 90.00, 90.00 degrees
Last column: nearest neighbours and their distance in Å.
Space group Cmmm (No. 65)
Asymmetric unit:
1 Mg 0.0000 0.0000 0.0000 (multiplicity 2)  4 Ru 2.74, 4 Mg 2.94
2 As 0.0000 0.0000 0.5000 (multiplicity 2)  4 Ru 2.41
3 Ru 0.0000 0.5000 0.2754 (multiplicity 4)  2 As 2.41



[9]
Compound: HfTl2Cr
Source: the Alexandria database
Functional: GGA-PBE
Structure: optimized geometry

## Properties
E_tot, eV/cell: -83.96
ΔE_f, eV/f.u.: 3.319
Energy relative to the lowest polymorph listed for this composition, meV/atom: 353

Cell lengths 7.6864, 7.6864, 5.8981 Å; angles 90.00, 90.00, 90.00 degrees
Last column: nearest neighbours and their distance in Å.
Space group I-42d (No. 122)
Asymmetric unit:
1 Hf 0.0000 0.0000 0.0000 (multiplicity 4)  2 Cr 2.95, 4 Tl 2.96
2 Tl 0.2233 0.7500 0.6250 (multiplicity 8)  2 Cr 2.68, 2 Hf 2.96, 2 Tl 2.98
3 Cr 0.0000 0.0000 0.5000 (multiplicity 4)  4 Tl 2.68, 2 Hf 2.95



[10]
Compound: Ta5Os4W
Source: the Alexandria database
Functional: GGA-PBE
Structure: optimized geometry

## Properties
E_tot, eV/cell: -119.55
ΔE_f, eV/f.u.: -2.415

Cell lengths 3.2212, 3.2212, 15.7865 Å; angles 90.00, 90.00, 90.00 degrees
Last column: nearest neighbours and their distance in Å.
Space group P4/mmm (No. 123)
Asymmetric unit:
1 Ta 0.0000 0.0000 0.0000 (multiplicity 1)  8 Os 2.76
2 Ta 0.0000 0.0000 0.1981 (multiplicity 2)  8 Os 2.75-2.77
3 Ta 0.0000 0.0000 0.4002 (multiplicity 2)  4 W 2.77, 4 Os 2.81
4 Os 0.5000 0.5000 0.0986 (multiplicity 2)  8 Ta 2.76-2.77
5 Os 0.5000 0.5000 0.2959 (multiplicity 2)  8 Ta 2.75-2.81
6 W 0.5000 0.5000 0.5000 (multiplicity 1)  8 Ta 2.77



[11]
Compound: ZrTaCr2
Source: the Alexandria database
Functional: GGA-PBE
Structure: optimized geometry

## Properties
E_tot, eV/cell: -78.02
ΔE_f, eV/f.u.: 0.640
Energy relative to the lowest polymorph listed for this composition, meV/atom: 19

Cell lengths 3.1206, 4.4365, 9.1902 Å; angles 90.00, 90.00, 90.00 degrees
Last column: nearest neighbours and their distance in Å.
Space group Imm2 (No. 44)
Asymmetric unit:
1 Zr 0.0000 0.0000 0.0000 (multiplicity 2)  6 Cr 2.72-2.87, 2 Ta 2.93
2 Ta 0.0000 0.5000 0.7702 (multiplicity 2)  6 Cr 2.73-2.82, 2 Zr 2.93
3 Cr 0.0000 0.0000 0.5257 (multiplicity 2)  2 Cr 2.49, 4 Zr 2.72
4 Cr 0.0000 0.5000 0.2373 (multiplicity 2)  2 Cr 2.49, 4 Ta 2.73



[12]
Compound: ZrRe2Cl
Source: the Alexandria database
Functional: GGA-PBE
Structure: optimized geometry

## Properties
Formation energy without anion corrections, kJ/mol of formula units: 151
E_tot, eV/cell: -67.46
Energy relative to the lowest polymorph listed for this composition, meV/atom: 515

Cell lengths 3.6189, 3.6189, 10.8152 Å; angles 90.00, 90.00, 90.00 degrees
Last column: nearest neighbours and their distance in Å.
Space group I4/mmm (No. 139)
Asymmetric unit:
1 Zr 0.0000 0.0000 0.0000 (multiplicity 2)  4 Cl 2.56
2 Re 0.0000 0.5000 0.2500 (multiplicity 4)  4 Re 2.56
3 Cl 0.0000 0.0000 0.5000 (multiplicity 2)  4 Zr 2.56



[13]
Compound: CeInTe3
Source: the Alexandria database
Functional: GGA-PBE
Structure: optimized geometry

## Properties
Formation energy without anion corrections, kJ/mol of formula units: -390
E_tot, eV/cell: -88.57

Cell lengths 15.3773, 4.4205, 9.5956 Å; angles 90.00, 92.24, 90.00 degrees
Last column: nearest neighbours and their distance in Å.
Space group C2/m (No. 12)
Asymmetric unit:
1 Ce 0.1118 0.0000 0.0923 (multiplicity 4)  8 Te 3.16-3.38
2 In 0.1803 0.5000 0.6268 (multiplicity 4)  6 Te 2.96-3.17
3 Te 0.0425 0.5000 0.8456 (multiplicity 4)  1 In 3.04, 1 Te 3.29, 4 Ce 3.31-3.38
4 Te 0.1266 0.0000 0.4376 (multiplicity 4)  3 In 2.96-3.06, 1 Ce 3.31
5 Te 0.2453 0.0000 0.8435 (multiplicity 4)  3 Ce 3.16-3.21, 2 In 3.17



[14]
Compound: MgTcMoC2
Source: the Alexandria database
Functional: GGA-PBE
Structure: optimized geometry

## Properties
E_tot, eV/cell: -32.70
ΔE_f, eV/f.u.: 8.544

Cell lengths 4.0865, 4.0865, 4.8711 Å; angles 90.00, 90.00, 90.00 degrees
Last column: nearest neighbours and their distance in Å.
Space group P4/mmm (No. 123)
Asymmetric unit:
1 Mg 0.0000 0.0000 0.0000 (multiplicity 1)  4 Tc 2.89, 8 C 3.18
2 Tc 0.5000 0.5000 0.0000 (multiplicity 1)  2 Mo 2.44
3 Mo 0.5000 0.5000 0.5000 (multiplicity 1)  4 C 2.04
4 C 0.0000 0.5000 0.5000 (multiplicity 2)  2 Mo 2.04



[15]
Compound: TmAl7Pd5
Source: the Alexandria database
Functional: GGA-PBE
Structure: optimized geometry

## Properties
E_tot, eV/cell: -132.45
ΔE_f, eV/f.u.: -9.589

Cell lengths 5.4152, 9.0615, 8.6649 Å; angles 90.00, 90.00, 90.00 degrees
Last column: nearest neighbours and their distance in Å.
Space group Imm2 (No. 44)
Asymmetric unit:
1 Tm 0.0000 0.0000 0.0000 (multiplicity 2)  8 Al 2.96-3.30, 6 Pd 3.28-3.30
2 Al 0.0000 0.0000 0.3416 (multiplicity 2)  1 Al 2.62, 6 Pd 2.88-2.91
3 Al 0.0000 0.0000 0.6441 (multiplicity 2)  5 Al 2.62-2.92, 4 Pd 2.68
4 Al 0.0000 0.2914 0.5106 (multiplicity 4)  5 Pd 2.57-2.61, 1 Al 2.81
5 Al 0.0000 0.3482 0.9864 (multiplicity 4)  5 Pd 2.65-2.78, 2 Al 2.75-2.82
6 Al 0.0000 0.5000 0.2709 (multiplicity 2)  4 Pd 2.50
7 Pd 0.0000 0.5000 0.7185 (multiplicity 2)  6 Al 2.61-2.91, 4 Pd 2.80
8 Pd 0.2489 0.2685 0.2545 (multiplicity 8)  6 Al 2.50-2.78, 2 Pd 2.70-2.72



[16]
Compound: CeHfNp2N4
Source: the Alexandria database
Functional: GGA-PBE
Structure: optimized geometry

## Properties
Formation energy without anion corrections, kJ/mol of formula units: -1058
E_tot, eV/cell: -86.03

Cell lengths 5.8765, 3.3803, 5.9770 Å; angles 90.00, 108.86, 90.00 degrees
Last column: nearest neighbours and their distance in Å.
Space group P2/m (No. 10)
Asymmetric unit:
1 Ce 0.0000 0.0000 0.0000 (multiplicity 1)  6 N 2.49-2.50
2 Hf 0.0000 0.5000 0.5000 (multiplicity 1)  6 N 2.29-2.32
3 Np 0.5000 0.0000 0.5000 (multiplicity 1)  6 N 2.34
4 Np 0.5000 0.5000 0.0000 (multiplicity 1)  6 N 2.51-2.54
5 N 0.2380 0.0000 0.7228 (multiplicity 2)  2 Hf 2.32, 3 Np 2.34-2.51, 1 Ce 2.49
6 N 0.2525 0.5000 0.2784 (multiplicity 2)  1 Hf 2.29, 3 Np 2.34-2.54, 2 Ce 2.50



[17]
Compound: La2PmZn3
Source: the Alexandria database
Functional: GGA-PBE
Structure: optimized geometry

## Properties
E_tot, eV/cell: -20.28
ΔE_f, eV/f.u.: -1.850
Energy relative to the lowest polymorph listed for this composition, meV/atom: 4

Cell lengths 3.7292, 3.7292, 11.1895 Å; angles 90.00, 90.00, 90.00 degrees
Last column: nearest neighbours and their distance in Å.
Space group P4/mmm (No. 123)
Asymmetric unit:
1 La 0.0000 0.0000 0.1702 (multiplicity 2)  8 Zn 3.25-3.27
2 Pm 0.0000 0.0000 0.5000 (multiplicity 1)  8 Zn 3.17
3 Zn 0.5000 0.5000 0.0000 (multiplicity 1)  8 La 3.25
4 Zn 0.5000 0.5000 0.3430 (multiplicity 2)  4 Pm 3.17, 4 La 3.27, 1 Zn 3.51



[18]
Compound: La12CdAg6
Source: the Alexandria database
Functional: GGA-PBE
Structure: optimized geometry

## Properties
E_tot, eV/cell: -236.51
ΔE_f, eV/f.u.: -1.684

Cell lengths 11.5334, 11.5334, 14.5573 Å; angles 90.00, 90.00, 120.00 degrees
Last column: nearest neighbours and their distance in Å.
Space group R-3 (No. 148, hexagonal axes)
Asymmetric unit:
1 La 0.0341 0.1976 0.3208 (multiplicity 18)  2 La 3.12-3.32, 3 Ag 3.27-3.30, 1 Cd 3.36
2 La 0.0547 0.8423 0.8989 (multiplicity 18)  3 Ag 3.25-3.46, 2 La 3.30-3.32
3 Cd 0.0000 0.0000 0.5000 (multiplicity 3)  6 Ag 3.10, 6 La 3.36
4 Ag 0.0408 0.4460 0.2046 (multiplicity 18)  1 Cd 3.10, 2 Ag 3.24, 6 La 3.25-3.46



[19]
Compound: Sm12TcHg6
Source: the Alexandria database
Functional: GGA-PBE
Structure: optimized geometry

## Properties
E_tot, eV/cell: -217.14
ΔE_f, eV/f.u.: -3.574

Cell lengths 12.1887, 12.1887, 13.5258 Å; angles 90.00, 90.00, 120.00 degrees
Last column: nearest neighbours and their distance in Å.
Space group R-3 (No. 148, hexagonal axes)
Asymmetric unit:
1 Sm 0.0393 0.8480 0.3903 (multiplicity 18)  4 Hg 3.15-3.32
2 Sm 0.0400 0.1919 0.8738 (multiplicity 18)  1 Tc 2.74
3 Tc 0.0000 0.0000 0.0000 (multiplicity 3)  6 Sm 2.74
4 Hg 0.0036 0.6016 0.2592 (multiplicity 18)  8 Sm 3.15-3.35



[20]
Compound: Li2Zn4Cu
Source: the Alexandria database
Functional: GGA-PBE
Structure: optimized geometry

## Properties
E_tot, eV/cell: -25.03
ΔE_f, eV/f.u.: 0.503
Energy relative to the lowest polymorph listed for this composition, meV/atom: 182

Cell lengths 4.2578, 14.0825, 4.2654 Å; angles 90.00, 90.00, 90.00 degrees
Last column: nearest neighbours and their distance in Å.
Space group Cmmm (No. 65)
Asymmetric unit:
1 Li 0.0000 0.1931 0.0000 (multiplicity 4)  4 Zn 2.59-2.72, 2 Li 2.66
2 Zn 0.0000 0.3126 0.5000 (multiplicity 4)  4 Zn 2.55-2.76, 1 Cu 2.64, 2 Li 2.72
3 Zn 0.0000 0.4115 0.0000 (multiplicity 4)  2 Cu 2.47, 3 Zn 2.49-2.55, 2 Li 2.59
4 Cu 0.0000 0.5000 0.5000 (multiplicity 2)  6 Zn 2.47-2.64



[21]
Compound: NaSr2MnAu
Source: the Alexandria database
Functional: GGA-PBE
Structure: optimized geometry

## Properties
E_tot, eV/cell: -14.55
ΔE_f, eV/f.u.: 2.575

Cell lengths 5.8919, 5.8919, 5.2950 Å; angles 90.00, 90.00, 90.00 degrees
Last column: nearest neighbours and their distance in Å.
Space group P4/mmm (No. 123)
Asymmetric unit:
1 Na 0.0000 0.0000 0.0000 (multiplicity 1)  2 Mn 2.65
2 Sr 0.0000 0.5000 0.5000 (multiplicity 2)  2 Mn 2.95
3 Mn 0.0000 0.0000 0.5000 (multiplicity 1)  2 Na 2.65, 4 Sr 2.95
4 Au 0.5000 0.5000 0.0000 (multiplicity 1)  8 Sr 3.96, 4 Na 4.17



[22]
Compound: Mn2CuCl2
Source: the Alexandria database
Functional: GGA-PBE
Structure: optimized geometry

## Properties
Formation energy without anion corrections, kJ/mol of formula units: 42
E_tot, eV/cell: -51.38
Energy relative to the lowest polymorph listed for this composition, meV/atom: 0

Cell lengths 6.9373, 6.9373, 4.5408 Å; angles 90.00, 90.00, 90.00 degrees
Last column: nearest neighbours and their distance in Å.
Space group P4/mbm (No. 127)
Asymmetric unit:
1 Mn 0.2037 0.2963 0.0000 (multiplicity 4)  2 Cl 2.28, 2 Cu 2.49
2 Cu 0.0000 0.0000 0.0000 (multiplicity 2)  4 Mn 2.49
3 Cl 0.1780 0.3220 0.5000 (multiplicity 4)  2 Mn 2.28



[23]
Compound: Tm2OsBr
Source: the Alexandria database
Functional: GGA-PBE
Structure: optimized geometry

## Properties
Formation energy without anion corrections, kJ/mol of formula units: -276
E_tot, eV/cell: -24.71
Energy relative to the lowest polymorph listed for this composition, meV/atom: 0

Cell lengths 3.3583, 3.3583, 8.1081 Å; angles 90.00, 90.00, 90.00 degrees
Last column: nearest neighbours and their distance in Å.
Space group P4/mmm (No. 123)
Asymmetric unit:
1 Tm 0.0000 0.0000 0.2032 (multiplicity 2)  4 Os 2.89
2 Os 0.5000 0.5000 0.0000 (multiplicity 1)  8 Tm 2.89
3 Br 0.5000 0.5000 0.5000 (multiplicity 1)  4 Br 3.36, 8 Tm 3.38